Entry 1:
Computed, not measured: Tc2HgIr after structural relaxation at the PBE level of DFT.

Values from the calculation:
Crystal system: tetragonal
Density of states at the Fermi level, states/eV/atom: 1.631
Calculated density, g cm⁻³: 15.42
ΔH_f (0 K), eV/atom: 0.57
Electronic total energy, eV per atom: -6.906
Magnetic moment, μB/atom: 0.0015

abc: 3.9135 3.9135 4.1411
angles: 90.00 90.00 90.00
Closest atoms and distances in Å follow each position.
Space group P4/mmm (No. 123)
Asymmetric unit:
Tc 0.0000 0.5000 0.0000 x2  4 Tc 2.77, 4 Hg 2.85, 4 Ir 2.85
Hg 0.0000 0.0000 0.5000 x1  4 Ir 2.77, 8 Tc 2.85
Ir 0.5000 0.5000 0.5000 x1  4 Hg 2.77, 8 Tc 2.85

=====

Entry 2:
Computed, not measured: TcHg2Ir after structural relaxation at the PBE level of DFT.

Values from the calculation:
Crystal system: tetragonal
Density of states at the Fermi level, states/eV/atom: 0.684
Energy relative to the lowest polymorph listed for this composition, eV/atom: 0.474
Calculated density, g cm⁻³: 16.20
ΔH_f (0 K), eV/atom: 0.69
Electronic total energy, eV per atom: -4.272
Magnetic moment, μB/atom: 0.4675

abc: 4.2556 4.2556 7.8243
angles: 90.00 90.00 90.00
Closest atoms and distances in Å follow each position.
Space group I-4m2 (No. 119)
Asymmetric unit:
Tc 0.0000 0.0000 0.0000 x2  8 Hg 2.89-3.01, 4 Ir 2.89
Hg 0.0000 0.0000 0.5000 x2  4 Hg 2.89, 4 Ir 2.89, 4 Tc 3.01
Hg 0.0000 0.5000 0.7500 x2  4 Hg 2.89, 4 Tc 2.89, 4 Ir 3.01
Ir 0.0000 0.5000 0.2500 x2  8 Hg 2.89-3.01, 4 Tc 2.89